Record 1
AcPmRhO6 | PBE | relaxed

* raw total energy: -7.095 eV per atom
* energy relative to the elements, uncorrected: -1.988 eV/atom
* density of states at the Fermi level: 0.632 states/eV/atom

```
data_AcPmRhO6
_cell_length_a 5.865
_cell_length_b 5.865
_cell_length_c 9.182
_cell_angle_alpha 90.00
_cell_angle_beta 90.00
_cell_angle_gamma 120.00
_symmetry_space_group_name_H-M 'P 1'
_symmetry_Int_Tables_number 1
loop_
_symmetry_equiv_pos_as_xyz
'x,y,z'
loop_
_atom_site_label
_atom_site_fract_x
_atom_site_fract_y
_atom_site_fract_z
Ac1 0.333 0.667 0.250
Ac2 0.667 0.333 0.750
Pm1 0.000 0.000 0.000
Pm2 0.000 0.000 0.500
Rh1 0.667 0.333 0.250
Rh2 0.333 0.667 0.750
O1 0.687 0.622 0.130
O2 0.935 0.313 0.130
O3 0.313 0.935 0.630
O4 0.065 0.687 0.870
O5 0.378 0.313 0.370
O6 0.935 0.622 0.370
O7 0.622 0.935 0.870
O8 0.687 0.065 0.370
O9 0.065 0.378 0.630
O10 0.378 0.065 0.130
O11 0.622 0.687 0.630
O12 0.313 0.378 0.870
```

---

Record 2
La5Y4In4 | PBE | relaxed

* raw total energy: -5.046 eV per atom
* density of states at the Fermi level: 1.281 states/eV/atom

```
data_La5Y4In4
_cell_length_a 5.177
_cell_length_b 9.359
_cell_length_c 9.359
_cell_angle_alpha 85.61
_cell_angle_beta 73.94
_cell_angle_gamma 73.94
_symmetry_space_group_name_H-M 'P 1'
_symmetry_Int_Tables_number 1
loop_
_symmetry_equiv_pos_as_xyz
'x,y,z'
loop_
_atom_site_label
_atom_site_fract_x
_atom_site_fract_y
_atom_site_fract_z
La1 0.691 0.910 0.707
La2 0.309 0.090 0.293
La3 0.000 0.000 0.000
La4 0.601 0.707 0.090
La5 0.399 0.293 0.910
Y1 0.906 0.490 0.699
Y2 0.605 0.301 0.490
Y3 0.094 0.510 0.301
Y4 0.395 0.699 0.510
In1 0.759 0.341 0.142
In2 0.241 0.659 0.858
In3 0.900 0.858 0.341
In4 0.100 0.142 0.659
```

---

Record 3
CdIrRh2 | PBE | relaxed

* raw total energy: -5.574 eV per atom
* density of states at the Fermi level: 2.084 states/eV/atom

```
data_CdIrRh2
_cell_length_a 7.194
_cell_length_b 7.194
_cell_length_c 5.766
_cell_angle_alpha 51.40
_cell_angle_beta 51.40
_cell_angle_gamma 90.00
_symmetry_space_group_name_H-M 'P 1'
_symmetry_Int_Tables_number 1
loop_
_symmetry_equiv_pos_as_xyz
'x,y,z'
loop_
_atom_site_label
_atom_site_fract_x
_atom_site_fract_y
_atom_site_fract_z
Ir1 0.000 0.000 0.000
Ir2 0.750 0.250 0.500
Rh1 0.656 0.125 0.250
Rh2 0.094 0.625 0.250
Rh3 0.375 0.344 0.750
Rh4 0.875 0.906 0.750
Cd1 0.500 0.500 0.000
Cd2 0.250 0.750 0.500
```

---

Record 4
SrScZn | PBE | relaxed

* raw total energy: -3.210 eV per atom
* density of states at the Fermi level: 1.442 states/eV/atom

```
data_SrScZn
_cell_length_a 4.749
_cell_length_b 4.749
_cell_length_c 7.739
_cell_angle_alpha 90.00
_cell_angle_beta 90.00
_cell_angle_gamma 90.00
_symmetry_space_group_name_H-M 'P 1'
_symmetry_Int_Tables_number 1
loop_
_symmetry_equiv_pos_as_xyz
'x,y,z'
loop_
_atom_site_label
_atom_site_fract_x
_atom_site_fract_y
_atom_site_fract_z
Sr1 0.000 0.500 0.857
Sr2 0.500 0.000 0.143
Zn1 0.000 0.500 0.294
Zn2 0.500 0.000 0.706
Sc1 0.500 0.500 0.500
Sc2 0.000 0.000 0.500
```

---

Record 5
LiErLuBe | PBE | relaxed

* raw total energy: -3.556 eV per atom
* density of states at the Fermi level: 1.107 states/eV/atom

```
data_LiErLuBe
_cell_length_a 4.910
_cell_length_b 4.910
_cell_length_c 4.910
_cell_angle_alpha 60.00
_cell_angle_beta 60.00
_cell_angle_gamma 60.00
_symmetry_space_group_name_H-M 'P 1'
_symmetry_Int_Tables_number 1
loop_
_symmetry_equiv_pos_as_xyz
'x,y,z'
loop_
_atom_site_label
_atom_site_fract_x
_atom_site_fract_y
_atom_site_fract_z
Be1 0.500 0.500 0.500
Lu1 0.250 0.250 0.250
Li1 0.000 0.000 0.000
Er1 0.750 0.750 0.750
```

---

Record 6
SrLi2CdPd | PBE | relaxed

* raw total energy: -2.557 eV per atom
* density of states at the Fermi level: 0.594 states/eV/atom

```
data_SrLi2CdPd
_cell_length_a 4.896
_cell_length_b 4.896
_cell_length_c 5.298
_cell_angle_alpha 90.00
_cell_angle_beta 90.00
_cell_angle_gamma 90.00
_symmetry_space_group_name_H-M 'P 1'
_symmetry_Int_Tables_number 1
loop_
_symmetry_equiv_pos_as_xyz
'x,y,z'
loop_
_atom_site_label
_atom_site_fract_x
_atom_site_fract_y
_atom_site_fract_z
Sr1 0.500 0.500 0.500
Li1 0.000 0.500 0.000
Li2 0.500 0.000 0.000
Pd1 0.000 0.000 0.000
Cd1 0.000 0.000 0.500
```

---

Record 7
TmAg2Sn | PBE | relaxed

* raw total energy: -3.840 eV per atom
* density of states at the Fermi level: 0.565 states/eV/atom

```
data_TmAg2Sn
_cell_length_a 4.466
_cell_length_b 4.424
_cell_length_c 4.424
_cell_angle_alpha 90.00
_cell_angle_beta 90.00
_cell_angle_gamma 90.00
_symmetry_space_group_name_H-M 'P 1'
_symmetry_Int_Tables_number 1
loop_
_symmetry_equiv_pos_as_xyz
'x,y,z'
loop_
_atom_site_label
_atom_site_fract_x
_atom_site_fract_y
_atom_site_fract_z
Tm1 0.500 0.500 0.500
Sn1 0.500 0.000 0.000
Ag1 0.000 0.000 0.500
Ag2 0.000 0.500 0.000
```

---

Record 8
LiInHg2 | PBE | relaxed

* raw total energy: -1.482 eV per atom
* density of states at the Fermi level: 0.531 states/eV/atom

```
data_LiInHg2
_cell_length_a 3.997
_cell_length_b 4.770
_cell_length_c 4.770
_cell_angle_alpha 90.00
_cell_angle_beta 90.00
_cell_angle_gamma 90.00
_symmetry_space_group_name_H-M 'P 1'
_symmetry_Int_Tables_number 1
loop_
_symmetry_equiv_pos_as_xyz
'x,y,z'
loop_
_atom_site_label
_atom_site_fract_x
_atom_site_fract_y
_atom_site_fract_z
Li1 0.500 0.000 0.000
Hg1 0.000 0.000 0.500
Hg2 0.000 0.500 0.000
In1 0.500 0.500 0.500
```

---

Record 9
TaPS2N | PBE | relaxed

* raw total energy: -5.998 eV per atom
* energy relative to the elements, uncorrected: 0.771 eV/atom
* density of states at the Fermi level: 0.381 states/eV/atom

```
data_TaPS2N
_cell_length_a 4.108
_cell_length_b 4.108
_cell_length_c 3.953
_cell_angle_alpha 90.00
_cell_angle_beta 90.00
_cell_angle_gamma 90.00
_symmetry_space_group_name_H-M 'P 1'
_symmetry_Int_Tables_number 1
loop_
_symmetry_equiv_pos_as_xyz
'x,y,z'
loop_
_atom_site_label
_atom_site_fract_x
_atom_site_fract_y
_atom_site_fract_z
P1 0.000 0.000 0.500
S1 0.000 0.500 0.000
S2 0.500 0.000 0.000
N1 0.000 0.000 0.000
Ta1 0.500 0.500 0.500
```

---

Record 10
UMnS2 | PBE | relaxed

* raw total energy: -7.826 eV per atom
* energy relative to the elements, uncorrected: -0.648 eV/atom
* density of states at the Fermi level: 1.240 states/eV/atom

```
data_UMnS2
_cell_length_a 4.038
_cell_length_b 4.038
_cell_length_c 7.665
_cell_angle_alpha 74.73
_cell_angle_beta 74.73
_cell_angle_gamma 60.00
_symmetry_space_group_name_H-M 'P 1'
_symmetry_Int_Tables_number 1
loop_
_symmetry_equiv_pos_as_xyz
'x,y,z'
loop_
_atom_site_label
_atom_site_fract_x
_atom_site_fract_y
_atom_site_fract_z
S1 0.102 0.102 0.694
S2 0.898 0.898 0.306
Mn1 0.000 0.000 0.000
U1 0.500 0.500 0.500
```

---

Record 11
Ta2MnVHg | PBE | relaxed

* raw total energy: -6.287 eV per atom
* density of states at the Fermi level: 1.349 states/eV/atom

```
data_Ta2MnVHg
_cell_length_a 5.055
_cell_length_b 4.893
_cell_length_c 5.055
_cell_angle_alpha 90.00
_cell_angle_beta 90.00
_cell_angle_gamma 90.00
_symmetry_space_group_name_H-M 'P 1'
_symmetry_Int_Tables_number 1
loop_
_symmetry_equiv_pos_as_xyz
'x,y,z'
loop_
_atom_site_label
_atom_site_fract_x
_atom_site_fract_y
_atom_site_fract_z
V1 0.000 0.500 0.000
Mn1 0.500 0.500 0.500
Hg1 0.000 0.000 0.000
Ta1 0.000 0.000 0.500
Ta2 0.500 0.000 0.000
```

---

Record 12
Ho6ErAl2 | PBE | relaxed

* raw total energy: -4.561 eV per atom
* density of states at the Fermi level: 1.204 states/eV/atom

```
data_Ho6ErAl2
_cell_length_a 3.640
_cell_length_b 6.487
_cell_length_c 11.480
_cell_angle_alpha 75.52
_cell_angle_beta 80.88
_cell_angle_gamma 73.70
_symmetry_space_group_name_H-M 'P 1'
_symmetry_Int_Tables_number 1
loop_
_symmetry_equiv_pos_as_xyz
'x,y,z'
loop_
_atom_site_label
_atom_site_fract_x
_atom_site_fract_y
_atom_site_fract_z
Ho1 0.686 0.503 0.124
Ho2 0.314 0.497 0.876
Ho3 0.311 0.789 0.588
Ho4 0.978 0.714 0.330
Ho5 0.022 0.286 0.670
Ho6 0.689 0.211 0.412
Er1 0.000 0.000 0.000
Al1 0.352 0.093 0.204
Al2 0.648 0.907 0.796
```

---

Record 13
Nd2ScCuPd6 | PBE | relaxed

* raw total energy: -5.616 eV per atom
* density of states at the Fermi level: 0.499 states/eV/atom

```
data_Nd2ScCuPd6
_cell_length_a 5.667
_cell_length_b 8.728
_cell_length_c 8.730
_cell_angle_alpha 37.88
_cell_angle_beta 71.03
_cell_angle_gamma 89.97
_symmetry_space_group_name_H-M 'P 1'
_symmetry_Int_Tables_number 1
loop_
_symmetry_equiv_pos_as_xyz
'x,y,z'
loop_
_atom_site_label
_atom_site_fract_x
_atom_site_fract_y
_atom_site_fract_z
Nd1 0.796 0.204 0.408
Nd2 0.204 0.796 0.592
Sc1 0.000 0.000 0.000
Cu1 0.500 0.500 0.000
Pd1 0.253 0.244 0.493
Pd2 0.756 0.747 0.990
Pd3 0.253 0.747 0.990
Pd4 0.747 0.253 0.010
Pd5 0.244 0.253 0.010
Pd6 0.747 0.756 0.507
```

---

Record 14
TaNb6Re | PBE | relaxed

* raw total energy: -10.471 eV per atom
* density of states at the Fermi level: 1.121 states/eV/atom

```
data_TaNb6Re
_cell_length_a 5.838
_cell_length_b 5.838
_cell_length_c 5.838
_cell_angle_alpha 110.69
_cell_angle_beta 110.69
_cell_angle_gamma 110.69
_symmetry_space_group_name_H-M 'P 1'
_symmetry_Int_Tables_number 1
loop_
_symmetry_equiv_pos_as_xyz
'x,y,z'
loop_
_atom_site_label
_atom_site_fract_x
_atom_site_fract_y
_atom_site_fract_z
Ta1 0.000 0.000 0.000
Nb1 0.251 0.744 0.251
Nb2 0.251 0.251 0.744
Nb3 0.749 0.256 0.749
Nb4 0.256 0.749 0.749
Nb5 0.749 0.749 0.256
Nb6 0.744 0.251 0.251
Re1 0.500 0.500 0.500
```

---

Record 15
La2HfBr | PBE | relaxed

* raw total energy: -5.011 eV per atom
* energy relative to the elements, uncorrected: 0.359 eV/atom
* density of states at the Fermi level: 0.593 states/eV/atom

```
data_La2HfBr
_cell_length_a 6.615
_cell_length_b 6.615
_cell_length_c 8.587
_cell_angle_alpha 67.34
_cell_angle_beta 67.34
_cell_angle_gamma 90.00
_symmetry_space_group_name_H-M 'P 1'
_symmetry_Int_Tables_number 1
loop_
_symmetry_equiv_pos_as_xyz
'x,y,z'
loop_
_atom_site_label
_atom_site_fract_x
_atom_site_fract_y
_atom_site_fract_z
Hf1 0.000 0.000 0.000
Hf2 0.750 0.250 0.500
Br1 0.500 0.500 0.000
Br2 0.250 0.750 0.500
La1 0.641 0.125 0.250
La2 0.109 0.625 0.250
La3 0.375 0.359 0.750
La4 0.875 0.891 0.750
```

---

Record 16
TlP2Ru | PBE | relaxed

* raw total energy: -4.957 eV per atom
* density of states at the Fermi level: 0.512 states/eV/atom

```
data_TlP2Ru
_cell_length_a 4.643
_cell_length_b 4.643
_cell_length_c 3.329
_cell_angle_alpha 90.00
_cell_angle_beta 90.00
_cell_angle_gamma 108.34
_symmetry_space_group_name_H-M 'P 1'
_symmetry_Int_Tables_number 1
loop_
_symmetry_equiv_pos_as_xyz
'x,y,z'
loop_
_atom_site_label
_atom_site_fract_x
_atom_site_fract_y
_atom_site_fract_z
P1 0.000 0.000 0.000
P2 0.500 0.500 0.000
Ru1 0.500 0.000 0.500
Tl1 0.000 0.500 0.500
```

---

Record 17
Sr4Pa3TiN8 | PBE | relaxed

* raw total energy: -8.137 eV per atom
* energy relative to the elements, uncorrected: -1.280 eV/atom
* density of states at the Fermi level: 0.557 states/eV/atom

```
data_Sr4Pa3TiN8
_cell_length_a 7.051
_cell_length_b 7.219
_cell_length_c 7.051
_cell_angle_alpha 119.23
_cell_angle_beta 120.00
_cell_angle_gamma 90.00
_symmetry_space_group_name_H-M 'P 1'
_symmetry_Int_Tables_number 1
loop_
_symmetry_equiv_pos_as_xyz
'x,y,z'
loop_
_atom_site_label
_atom_site_fract_x
_atom_site_fract_y
_atom_site_fract_z
Sr1 0.500 0.000 0.000
Sr2 0.500 0.000 0.500
Sr3 0.000 0.000 0.000
Sr4 0.000 0.000 0.500
Pa1 0.500 0.500 0.000
Pa2 0.500 0.500 0.500
Pa3 0.000 0.500 0.500
Ti1 0.000 0.500 0.000
N1 0.229 0.693 0.964
N2 0.229 0.693 0.458
N3 0.267 0.302 0.535
N4 0.735 0.693 0.964
N5 0.265 0.307 0.036
N6 0.733 0.698 0.465
N7 0.771 0.307 0.542
N8 0.771 0.307 0.036
```

---

Record 18
AcSi2Rh5 | PBE | relaxed

* raw total energy: -7.245 eV per atom
* energy relative to the elements, uncorrected: -0.781 eV/atom
* density of states at the Fermi level: 0.626 states/eV/atom

```
data_AcSi2Rh5
_cell_length_a 3.947
_cell_length_b 6.376
_cell_length_c 6.376
_cell_angle_alpha 64.08
_cell_angle_beta 71.97
_cell_angle_gamma 71.97
_symmetry_space_group_name_H-M 'P 1'
_symmetry_Int_Tables_number 1
loop_
_symmetry_equiv_pos_as_xyz
'x,y,z'
loop_
_atom_site_label
_atom_site_fract_x
_atom_site_fract_y
_atom_site_fract_z
Ac1 0.000 0.000 0.000
Si1 0.770 0.730 0.730
Si2 0.230 0.270 0.270
Rh1 0.000 0.500 0.500
Rh2 0.651 0.549 0.150
Rh3 0.349 0.451 0.850
Rh4 0.349 0.850 0.451
Rh5 0.651 0.150 0.549
```

---

Record 19
Ac2Pr5Nd4 | PBE | relaxed

* raw total energy: -4.526 eV per atom
* density of states at the Fermi level: 1.314 states/eV/atom

```
data_Ac2Pr5Nd4
_cell_length_a 7.068
_cell_length_b 7.463
_cell_length_c 9.554
_cell_angle_alpha 80.06
_cell_angle_beta 68.29
_cell_angle_gamma 61.74
_symmetry_space_group_name_H-M 'P 1'
_symmetry_Int_Tables_number 1
loop_
_symmetry_equiv_pos_as_xyz
'x,y,z'
loop_
_atom_site_label
_atom_site_fract_x
_atom_site_fract_y
_atom_site_fract_z
Ac1 0.324 0.611 0.742
Ac2 0.676 0.389 0.258
Pr1 0.245 0.147 0.833
Pr2 0.755 0.853 0.167
Pr3 0.000 0.500 0.500
Pr4 0.775 0.147 0.833
Pr5 0.225 0.853 0.167
Nd1 0.270 0.992 0.467
Nd2 0.730 0.008 0.533
Nd3 0.737 0.652 0.874
Nd4 0.263 0.348 0.126
```

---

Record 20
YEr4AgS8 | PBE | relaxed

* raw total energy: -6.161 eV per atom
* energy relative to the elements, uncorrected: -1.834 eV/atom
* density of states at the Fermi level: 0.000 states/eV/atom

```
data_YEr4AgS8
_cell_length_a 7.964
_cell_length_b 7.964
_cell_length_c 7.987
_cell_angle_alpha 60.10
_cell_angle_beta 60.10
_cell_angle_gamma 60.00
_symmetry_space_group_name_H-M 'P 1'
_symmetry_Int_Tables_number 1
loop_
_symmetry_equiv_pos_as_xyz
'x,y,z'
loop_
_atom_site_label
_atom_site_fract_x
_atom_site_fract_y
_atom_site_fract_z
Y1 0.004 0.004 0.987
Er1 0.625 0.625 0.124
Er2 0.004 0.487 0.504
Er3 0.487 0.004 0.504
Er4 0.004 0.004 0.504
Ag1 0.374 0.374 0.877
S1 0.244 0.773 0.739
S2 0.773 0.244 0.739
S3 0.244 0.244 0.739
S4 0.242 0.242 0.275
S5 0.757 0.226 0.261
S6 0.226 0.757 0.261
S7 0.757 0.757 0.261
S8 0.759 0.759 0.724
```